Record 1
DFT (PBE) results for crystalline NdHoCd6 at its relaxed geometry. Values from VASP.

Output
Volume in Å³ per atom: 23.9
Calculated density in g cm⁻³: 8.548
ΔH_f (0 K) in meV/atom: -297.6
Crystal system: hexagonal
Relative energy among the computed polymorphs in eV/f.u.: 0.00
Uncorrected energy in eV per atom: -2.137

Cell and atoms, written as Quantum ESPRESSO input:
```
&SYSTEM
  ibrav = 0, nat = 8, ntyp = 3
/
ATOMIC_SPECIES
Cd 112.41 Cd.upf
Ho 164.93 Ho.upf
Nd 144.24 Nd.upf
CELL_PARAMETERS angstrom
6.649 0.000 0.000
-3.324 5.758 0.000
0.000 0.000 4.991
ATOMIC_POSITIONS crystal
Cd 0.508 0.015 0.000
Cd 0.508 0.492 0.000
Cd 0.985 0.492 0.000
Cd 0.339 0.169 0.500
Cd 0.831 0.169 0.500
Cd 0.831 0.661 0.500
Ho 0.000 0.000 0.000
Nd 0.333 0.667 0.500
```

***

Record 2
DFT (PBE) results for crystalline NdHoCd6 at its relaxed geometry. Values from VASP.

Output
Volume in Å³ per atom: 23.4
Calculated density in g cm⁻³: 8.726
ΔH_f (0 K) in meV/atom: -294.1
Crystal system: orthorhombic
Relative energy among the computed polymorphs in eV/f.u.: 0.03
Uncorrected energy in eV per atom: -2.133

Cell and atoms, written as Quantum ESPRESSO input:
```
&SYSTEM
  ibrav = 0, nat = 8, ntyp = 3
/
ATOMIC_SPECIES
Cd 112.41 Cd.upf
Ho 164.93 Ho.upf
Nd 144.24 Nd.upf
CELL_PARAMETERS angstrom
-2.274 -2.545 -3.772
0.732 -6.162 3.717
-4.521 0.787 2.195
ATOMIC_POSITIONS crystal
Cd 0.000 0.244 0.246
Cd 0.000 0.756 0.246
Cd 0.500 0.000 0.254
Cd 0.000 0.500 0.747
Cd 0.500 0.244 0.754
Cd 0.500 0.756 0.754
Ho 0.000 0.000 0.746
Nd 0.500 0.500 0.254
```

***

Record 3
DFT (PBE) results for crystalline NdHoCd6 at its relaxed geometry. Values from VASP.

Output
Volume in Å³ per atom: 23.7
Calculated density in g cm⁻³: 8.621
ΔH_f (0 K) in meV/atom: -296.2
Crystal system: tetragonal
Relative energy among the computed polymorphs in eV/f.u.: 0.01
Uncorrected energy in eV per atom: -2.135

Cell and atoms, written as Quantum ESPRESSO input:
```
&SYSTEM
  ibrav = 0, nat = 8, ntyp = 3
/
ATOMIC_SPECIES
Cd 112.41 Cd.upf
Ho 164.93 Ho.upf
Nd 144.24 Nd.upf
CELL_PARAMETERS angstrom
-1.442 0.342 4.885
4.312 -2.323 1.436
3.304 6.456 0.524
ATOMIC_POSITIONS crystal
Cd 0.000 0.000 0.000
Cd 0.500 0.000 0.256
Cd 0.000 0.500 0.256
Cd 0.500 0.500 0.500
Cd 0.500 0.000 0.744
Cd 0.000 0.500 0.744
Ho 0.000 0.000 0.500
Nd 0.500 0.500 0.000
```

***

Record 4
DFT (PBE) results for crystalline NdHo2Tl2Cd4 at its relaxed geometry. Values from VASP.

Output
Volume in Å³ per atom: 25.5
Calculated density in g cm⁻³: 9.641
Crystal system: orthorhombic
Uncorrected energy in eV per atom: -2.805

Cell and atoms, written as Quantum ESPRESSO input:
```
&SYSTEM
  ibrav = 0, nat = 9, ntyp = 4
/
ATOMIC_SPECIES
Cd 112.41 Cd.upf
Ho 164.93 Ho.upf
Nd 144.24 Nd.upf
Tl 204.38 Tl.upf
CELL_PARAMETERS angstrom
-0.904 4.237 -1.550
-5.425 -2.820 -4.545
-1.640 2.245 7.093
ATOMIC_POSITIONS crystal
Cd 0.500 0.239 0.001
Cd 0.500 0.001 0.239
Cd 0.500 0.759 0.759
Cd 0.000 0.992 0.992
Ho 0.000 0.576 0.002
Ho 0.000 0.002 0.576
Nd 0.000 0.427 0.427
Tl 0.500 0.672 0.332
Tl 0.500 0.332 0.672
```

***

Record 5
DFT (PBE) results for crystalline Nd2HoTl2Cd4 at its relaxed geometry. Values from VASP.

Output
Volume in Å³ per atom: 26.2
Calculated density in g cm⁻³: 9.247
Crystal system: orthorhombic
Uncorrected energy in eV per atom: -2.846

Cell and atoms, written as Quantum ESPRESSO input:
```
&SYSTEM
  ibrav = 0, nat = 9, ntyp = 4
/
ATOMIC_SPECIES
Cd 112.41 Cd.upf
Ho 164.93 Ho.upf
Nd 144.24 Nd.upf
Tl 204.38 Tl.upf
CELL_PARAMETERS angstrom
-0.792 -0.572 4.538
-2.012 -7.243 -1.265
7.300 1.623 1.479
ATOMIC_POSITIONS crystal
Cd 0.000 0.008 0.008
Cd 0.500 0.999 0.239
Cd 0.500 0.763 0.763
Cd 0.500 0.239 0.999
Ho 0.000 0.422 0.422
Nd 0.000 0.997 0.575
Nd 0.000 0.575 0.997
Tl 0.500 0.661 0.335
Tl 0.500 0.335 0.661
```

***

Record 6
DFT (PBE) results for crystalline NdHo2Tl2Zn3Cd at its relaxed geometry. Values from VASP.

Output
Volume in Å³ per atom: 23.3
Calculated density in g cm⁻³: 9.424
Crystal system: orthorhombic
Uncorrected energy in eV per atom: -2.891

Cell and atoms, written as Quantum ESPRESSO input:
```
&SYSTEM
  ibrav = 0, nat = 9, ntyp = 5
/
ATOMIC_SPECIES
Cd 112.41 Cd.upf
Ho 164.93 Ho.upf
Nd 144.24 Nd.upf
Tl 204.38 Tl.upf
Zn 65.41 Zn.upf
CELL_PARAMETERS angstrom
4.568 0.000 0.000
0.000 6.369 3.608
0.000 -6.369 3.608
ATOMIC_POSITIONS crystal
Cd 0.000 0.991 0.991
Ho 0.000 0.576 0.003
Ho 0.000 0.003 0.576
Nd 0.000 0.427 0.427
Tl 0.500 0.673 0.332
Tl 0.500 0.332 0.673
Zn 0.500 0.230 0.000
Zn 0.500 0.000 0.230
Zn 0.500 0.767 0.767
```

***

Record 7
DFT (PBE) results for crystalline HoCdNi4 at its relaxed geometry. Values from VASP.

Output
Volume in Å³ per atom: 14.3
Calculated density in g cm⁻³: 9.910
ΔH_f (0 K) in meV/atom: -372.7
Crystal system: cubic
Uncorrected energy in eV per atom: -4.997

Cell and atoms, written as Quantum ESPRESSO input:
```
&SYSTEM
  ibrav = 0, nat = 6, ntyp = 3
/
ATOMIC_SPECIES
Cd 112.41 Cd.upf
Ho 164.93 Ho.upf
Ni 58.69 Ni.upf
CELL_PARAMETERS angstrom
0.000 3.501 3.501
3.501 0.000 3.501
3.501 3.501 0.000
ATOMIC_POSITIONS crystal
Cd 0.000 0.000 0.000
Ho 0.250 0.250 0.250
Ni 0.626 0.626 0.123
Ni 0.626 0.123 0.626
Ni 0.123 0.626 0.626
Ni 0.626 0.626 0.626
```

***

Record 8
DFT (PBE) results for crystalline Ho3CdNi8 at its relaxed geometry. Values from VASP.

Output
Volume in Å³ per atom: 14.8
Calculated density in g cm⁻³: 10.091
ΔH_f (0 K) in meV/atom: -425.9
Crystal system: trigonal
Uncorrected energy in eV per atom: -5.357

Cell and atoms, written as Quantum ESPRESSO input:
```
&SYSTEM
  ibrav = 0, nat = 12, ntyp = 3
/
ATOMIC_SPECIES
Cd 112.41 Cd.upf
Ho 164.93 Ho.upf
Ni 58.69 Ni.upf
CELL_PARAMETERS angstrom
2.498 1.442 8.196
-2.498 1.442 8.196
0.000 -2.885 8.196
ATOMIC_POSITIONS crystal
Cd 0.873 0.873 0.873
Ho 0.377 0.377 0.377
Ho 0.505 0.505 0.505
Ho 0.994 0.994 0.994
Ni 0.188 0.188 0.188
Ni 0.941 0.436 0.436
Ni 0.436 0.941 0.436
Ni 0.937 0.937 0.438
Ni 0.688 0.688 0.688
Ni 0.438 0.937 0.937
Ni 0.937 0.438 0.937
Ni 0.436 0.436 0.941
```

***

Record 9
DFT (PBE) results for crystalline HoCdNi at its relaxed geometry. Values from VASP.

Output
Volume in Å³ per atom: 24.0
Calculated density in g cm⁻³: 7.763
ΔH_f (0 K) in meV/atom: 334.2
Crystal system: cubic
Uncorrected energy in eV per atom: -3.346

Cell and atoms, written as Quantum ESPRESSO input:
```
&SYSTEM
  ibrav = 0, nat = 3, ntyp = 3
/
ATOMIC_SPECIES
Cd 112.41 Cd.upf
Ho 164.93 Ho.upf
Ni 58.69 Ni.upf
CELL_PARAMETERS angstrom
-4.544 -0.102 -1.059
-2.455 -3.919 0.628
-3.185 -0.239 3.403
ATOMIC_POSITIONS crystal
Cd 0.750 0.750 0.750
Ho 0.000 0.000 0.000
Ni 0.250 0.250 0.250
```

***

Record 10
DFT (PBE) results for crystalline HoCdNi at its relaxed geometry. Values from VASP.

Output
Volume in Å³ per atom: 21.7
Calculated density in g cm⁻³: 8.560
ΔH_f (0 K) in meV/atom: -244.8
Crystal system: cubic
Uncorrected energy in eV per atom: -3.925

Cell and atoms, written as Quantum ESPRESSO input:
```
&SYSTEM
  ibrav = 0, nat = 3, ntyp = 3
/
ATOMIC_SPECIES
Cd 112.41 Cd.upf
Ho 164.93 Ho.upf
Ni 58.69 Ni.upf
CELL_PARAMETERS angstrom
3.299 -2.864 1.151
0.867 -0.813 4.358
-1.021 -4.018 1.795
ATOMIC_POSITIONS crystal
Cd 0.250 0.250 0.250
Ho 0.750 0.750 0.750
Ni 0.000 0.000 0.000
```

***

Record 11
DFT (PBE) results for crystalline Ho2Cd2O5 at its relaxed geometry. Values from VASP.

Output
Volume in Å³ per atom: 14.0
Calculated density in g cm⁻³: 8.347
Crystal system: tetragonal
Relative energy among the computed polymorphs in eV/f.u.: 3.19
Uncorrected energy in eV per atom: -5.598

Cell and atoms, written as Quantum ESPRESSO input:
```
&SYSTEM
  ibrav = 0, nat = 9, ntyp = 3
/
ATOMIC_SPECIES
Cd 112.41 Cd.upf
Ho 164.93 Ho.upf
O 16.00 O.upf
CELL_PARAMETERS angstrom
7.188 0.000 0.000
0.000 4.191 0.000
0.000 0.000 4.191
ATOMIC_POSITIONS crystal
Cd 0.203 0.500 0.500
Cd 0.797 0.500 0.500
Ho 0.000 0.000 0.000
Ho 0.500 0.000 0.000
O 0.197 0.500 0.000
O 0.803 0.500 0.000
O 0.197 0.000 0.500
O 0.803 0.000 0.500
O 0.500 0.500 0.500
```

***

Record 12
DFT (PBE) results for crystalline HoCd2O3 at its relaxed geometry. Values from VASP.

Output
Volume in Å³ per atom: 14.5
Calculated density in g cm⁻³: 8.363
Crystal system: trigonal
Uncorrected energy in eV per atom: -5.334

Cell and atoms, written as Quantum ESPRESSO input:
```
&SYSTEM
  ibrav = 0, nat = 6, ntyp = 3
/
ATOMIC_SPECIES
Cd 112.41 Cd.upf
Ho 164.93 Ho.upf
O 16.00 O.upf
CELL_PARAMETERS angstrom
3.440 0.000 0.000
-1.720 2.979 0.000
0.000 0.000 8.481
ATOMIC_POSITIONS crystal
Cd 0.333 0.667 0.153
Cd 0.667 0.333 0.847
Ho 0.000 0.000 0.500
O 0.000 0.000 0.000
O 0.667 0.333 0.369
O 0.333 0.667 0.631
```

***

Record 13
DFT (PBE) results for crystalline Ho2Cd2O5 at its relaxed geometry. Values from VASP.

Output
Volume in Å³ per atom: 15.7
Calculated density in g cm⁻³: 7.435
Crystal system: tetragonal
Relative energy among the computed polymorphs in eV/f.u.: 0.00
Uncorrected energy in eV per atom: -5.953

Cell and atoms, written as Quantum ESPRESSO input:
```
&SYSTEM
  ibrav = 0, nat = 9, ntyp = 3
/
ATOMIC_SPECIES
Cd 112.41 Cd.upf
Ho 164.93 Ho.upf
O 16.00 O.upf
CELL_PARAMETERS angstrom
8.434 0.000 0.000
0.000 4.099 0.000
0.000 0.000 4.099
ATOMIC_POSITIONS crystal
Cd 0.000 0.000 0.000
Cd 0.500 0.000 0.000
Ho 0.243 0.500 0.500
Ho 0.757 0.500 0.500
O 0.167 0.500 0.000
O 0.833 0.500 0.000
O 0.167 0.000 0.500
O 0.833 0.000 0.500
O 0.500 0.500 0.500
```

***

Record 14
DFT (PBE) results for crystalline Ho2CdO4 at its relaxed geometry. Values from VASP.

Output
Volume in Å³ per atom: 15.3
Calculated density in g cm⁻³: 7.872
Crystal system: cubic
Uncorrected energy in eV per atom: -7.089

Cell and atoms, written as Quantum ESPRESSO input:
```
&SYSTEM
  ibrav = 0, nat = 14, ntyp = 3
/
ATOMIC_SPECIES
Cd 112.41 Cd.upf
Ho 164.93 Ho.upf
O 16.00 O.upf
CELL_PARAMETERS angstrom
0.543 6.565 1.273
2.017 -2.448 -5.912
-6.541 0.254 1.469
ATOMIC_POSITIONS crystal
Cd 0.000 0.000 0.000
Cd 0.750 0.500 0.250
Ho 0.375 0.750 0.125
Ho 0.375 0.250 0.625
Ho 0.375 0.750 0.625
Ho 0.875 0.250 0.625
O 0.612 0.225 0.388
O 0.163 0.775 0.388
O 0.612 0.775 0.388
O 0.138 0.275 0.413
O 0.612 0.225 0.837
O 0.138 0.725 0.862
O 0.587 0.725 0.862
O 0.138 0.275 0.862
```

***

Record 15
DFT (PBE) results for crystalline Ho2CdOs at its relaxed geometry. Values from VASP.

Output
Volume in Å³ per atom: 22.7
Calculated density in g cm⁻³: 11.550
ΔH_f (0 K) in meV/atom: -334.3
Crystal system: tetragonal
Uncorrected energy in eV per atom: -5.653

Cell and atoms, written as Quantum ESPRESSO input:
```
&SYSTEM
  ibrav = 0, nat = 4, ntyp = 3
/
ATOMIC_SPECIES
Cd 112.41 Cd.upf
Ho 164.93 Ho.upf
Os 190.23 Os.upf
CELL_PARAMETERS angstrom
3.428 0.000 0.000
0.000 3.428 0.000
0.000 0.000 7.736
ATOMIC_POSITIONS crystal
Cd 0.000 0.000 0.500
Ho 0.500 0.500 0.212
Ho 0.500 0.500 0.788
Os 0.000 0.000 0.000
```

***

Record 16
DFT (PBE) results for crystalline HoCdOs at its relaxed geometry. Values from VASP.

Output
Volume in Å³ per atom: 22.9
Calculated density in g cm⁻³: 11.308
ΔH_f (0 K) in meV/atom: 612.2
Crystal system: cubic
Relative energy among the computed polymorphs in eV/f.u.: 0.00
Uncorrected energy in eV per atom: -4.954

Cell and atoms, written as Quantum ESPRESSO input:
```
&SYSTEM
  ibrav = 0, nat = 3, ntyp = 3
/
ATOMIC_SPECIES
Cd 112.41 Cd.upf
Ho 164.93 Ho.upf
Os 190.23 Os.upf
CELL_PARAMETERS angstrom
-4.053 -1.623 1.437
-1.083 0.149 4.464
-3.242 2.901 1.482
ATOMIC_POSITIONS crystal
Cd 0.000 0.000 0.000
Ho 0.250 0.250 0.250
Os 0.750 0.750 0.750
```

***

Record 17
DFT (PBE) results for crystalline HoCdOs at its relaxed geometry. Values from VASP.

Output
Volume in Å³ per atom: 24.2
Calculated density in g cm⁻³: 10.678
ΔH_f (0 K) in meV/atom: 839.2
Crystal system: cubic
Relative energy among the computed polymorphs in eV/f.u.: 0.68
Uncorrected energy in eV per atom: -4.727

Cell and atoms, written as Quantum ESPRESSO input:
```
&SYSTEM
  ibrav = 0, nat = 3, ntyp = 3
/
ATOMIC_SPECIES
Cd 112.41 Cd.upf
Ho 164.93 Ho.upf
Os 190.23 Os.upf
CELL_PARAMETERS angstrom
0.000 3.313 3.313
3.313 0.000 3.313
3.313 3.313 0.000
ATOMIC_POSITIONS crystal
Cd 0.500 0.500 0.500
Ho 0.250 0.250 0.250
Os 0.000 0.000 0.000
```

***

Record 18
DFT (PBE) results for crystalline HoPaCd at its relaxed geometry. Values from VASP.

Output
Volume in Å³ per atom: 29.0
Calculated density in g cm⁻³: 9.700
ΔH_f (0 K) in meV/atom: 904.6
Crystal system: cubic
Relative energy among the computed polymorphs in eV/f.u.: 0.00
Uncorrected energy in eV per atom: -4.085

Cell and atoms, written as Quantum ESPRESSO input:
```
&SYSTEM
  ibrav = 0, nat = 3, ntyp = 3
/
ATOMIC_SPECIES
Cd 112.41 Cd.upf
Ho 164.93 Ho.upf
Pa 231.04 Pa.upf
CELL_PARAMETERS angstrom
2.500 2.901 3.174
-2.073 4.190 1.700
-1.443 0.311 4.750
ATOMIC_POSITIONS crystal
Cd 0.750 0.750 0.750
Ho 0.000 0.000 0.000
Pa 0.250 0.250 0.250
```

***

Record 19
DFT (PBE) results for crystalline HoCd2Pb at its relaxed geometry. Values from VASP.

Output
Volume in Å³ per atom: 24.8
Calculated density in g cm⁻³: 10.011
Crystal system: tetragonal
Uncorrected energy in eV per atom: -2.840

Cell and atoms, written as Quantum ESPRESSO input:
```
&SYSTEM
  ibrav = 0, nat = 4, ntyp = 3
/
ATOMIC_SPECIES
Cd 112.41 Cd.upf
Ho 164.93 Ho.upf
Pb 207.20 Pb.upf
CELL_PARAMETERS angstrom
-3.783 0.136 -2.433
1.759 -2.957 -2.901
-1.832 -3.683 2.643
ATOMIC_POSITIONS crystal
Cd 0.500 0.000 0.000
Cd 0.000 0.500 0.000
Ho 0.000 0.000 0.500
Pb 0.500 0.500 0.500
```

***

Record 20
DFT (PBE) results for crystalline HoCdPbSe3 at its relaxed geometry. Values from VASP.

Output
Volume in Å³ per atom: 26.3
Calculated density in g cm⁻³: 7.585
Crystal system: orthorhombic
Uncorrected energy in eV per atom: -4.160

Cell and atoms, written as Quantum ESPRESSO input:
```
&SYSTEM
  ibrav = 0, nat = 12, ntyp = 4
/
ATOMIC_SPECIES
Cd 112.41 Cd.upf
Ho 164.93 Ho.upf
Pb 207.20 Pb.upf
Se 78.96 Se.upf
CELL_PARAMETERS angstrom
2.095 -6.977 0.000
2.095 6.977 0.000
0.000 0.000 10.806
ATOMIC_POSITIONS crystal
Cd 0.457 0.543 0.250
Cd 0.543 0.457 0.750
Ho 0.000 0.000 0.000
Ho 0.000 0.000 0.500
Pb 0.763 0.237 0.250
Pb 0.237 0.763 0.750
Se 0.359 0.641 0.036
Se 0.085 0.915 0.250
Se 0.359 0.641 0.464
Se 0.641 0.359 0.536
Se 0.915 0.085 0.750
Se 0.641 0.359 0.964
```